[1]
The following is a DFT calculation (PBE) of a relaxed PmHo6Sc12 crystal.

Lattice parameters (Å, degrees): 12.7746 12.7746 11.6276 90.00 90.00 120.00
Space group R-3m (No. 166, hexagonal axes)
Unique sites:
Pm 0.0000 0.0000 0.0000 x3
Ho 0.0106 0.5053 0.7272 x18
Sc 0.0000 0.3854 0.5000 x18
Sc 0.0968 0.1937 0.3592 x18

Calculated values
E_form: 9.44 eV per formula unit

[2]
The following is a DFT calculation (PBE) of a relaxed Pm2Ho15Sc2 crystal.

Lattice parameters (Å, degrees): 11.1147 11.1147 17.2595 90.00 90.00 120.00
Space group R-3m (No. 166, hexagonal axes)
Unique sites:
Pm 0.0000 0.0000 0.1767 x6
Ho 0.0000 0.2939 0.5000 x18
Ho 0.0000 0.5000 0.0000 x9
Ho 0.0066 0.5033 0.6388 x18
Sc 0.0000 0.0000 0.4084 x6

Calculated values
E_form: 5.37 eV per formula unit

[3]
The following is a DFT calculation (PBE) of a relaxed PmHo2Sc6 crystal.

Lattice parameters (Å, degrees): 7.8062 7.8062 9.6721 90.00 90.00 90.00
Space group P4_2/mnm (No. 136)
Unique sites:
Pm 0.0000 0.0000 0.0000 x2
Ho 0.0000 0.0000 0.3324 x4
Sc 0.2375 0.2375 0.5000 x4
Sc 0.2394 0.2394 0.1647 x8

Calculated values
E_form: 7.73 eV per formula unit

[4]
The following is a DFT calculation (PBE) of a relaxed Pm4Ho2Sc5 crystal.

Lattice parameters (Å, degrees): 19.5055 3.4276 11.4996 90.00 120.27 90.00
Space group C2/m (No. 12)
Unique sites:
Pm 0.0145 0.0000 0.2880 x4
Pm 0.1905 0.0000 0.2078 x4
Ho 0.1593 0.5000 0.9242 x4
Sc 0.0000 0.5000 0.0000 x2
Sc 0.0905 0.5000 0.6012 x4
Sc 0.1764 0.5000 0.4473 x4

Calculated values
E_form: 2.31 eV per formula unit

[5]
The following is a DFT calculation (PBE) of a relaxed PmHo6Sc4 crystal.

Lattice parameters (Å, degrees): 8.6734 8.6734 5.2301 90.00 90.00 120.00
Space group P-6m2 (No. 187)
Unique sites:
Pm 0.0000 0.0000 0.0000 x1
Ho 0.2014 0.4028 0.5000 x3
Ho 0.5337 0.0675 0.0000 x3
Sc 0.3333 0.6667 0.0000 x1
Sc 0.4265 0.2132 0.5000 x3

Calculated values
E_form: 3.47 eV per formula unit

[6]
The following is a DFT calculation (PBE) of a relaxed Pm2Ho6Sc crystal.

Lattice parameters (Å, degrees): 16.2387 11.4722 6.0315 90.00 96.78 90.00
Space group C2/c (No. 15)
Unique sites:
Pm 0.1711 0.1025 0.0636 x8
Ho 0.0486 0.1420 0.5108 x8
Ho 0.1085 0.3662 0.8271 x8
Ho 0.2044 0.3622 0.3620 x8
Sc 0.0000 0.3973 0.2500 x4

Calculated values
distance to the lowest polymorph of the same formula: 7 meV per atom
E_form: 0.92 eV per formula unit